# 1
Computed, not measured: a relaxed structure of YTlTc2 at the PBE level of DFT.

Calculated values
- energy of formation from the pure elements (kJ/mol of formula units) = 146
- crystal system = monoclinic
- energy above the most stable polymorph in this dataset (meV per atom) = 329
- magnetization (μB per cell) = 0.0
- DOS(E_F) (states/eV/f.u.) = 3.626
- space-group type = P2/m, No. 10
- volume (Å³ per atom) = 21.30

abc: 4.809 3.210 5.526
angles: 87.22 90.00 90.00
Positions (direct):
Tc1 0.000 0.280 0.546
Tl1 0.500 0.250 0.250
Y1 0.500 0.750 0.750
Tc2 0.000 0.220 0.954

# 2
Computed, not measured: a relaxed structure of YTl2Tc at the PBE level of DFT.

Calculated values
- energy of formation from the pure elements (kJ/mol of formula units) = 103
- crystal system = monoclinic
- energy above the most stable polymorph in this dataset (meV per atom) = 103
- magnetization (μB per cell) = 0.0
- DOS(E_F) (states/eV/f.u.) = 3.193
- space-group type = Pm, No. 6
- volume (Å³ per atom) = 25.82

abc: 3.521 4.365 7.056
angles: 72.19 90.00 90.00
Positions (direct):
Tc1 0.500 0.979 0.667
Tl1 0.500 0.183 0.259
Y1 0.000 0.525 0.575
Tl2 0.000 0.813 0.998

# 3
Computed, not measured: a relaxed structure of YTl2Tc at the PBE level of DFT.

Calculated values
- energy of formation from the pure elements (kJ/mol of formula units) = 107
- crystal system = monoclinic
- energy above the most stable polymorph in this dataset (meV per atom) = 114
- magnetization (μB per cell) = 0.7
- DOS(E_F) (states/eV/f.u.) = 3.526
- space-group type = P2/m, No. 10
- volume (Å³ per atom) = 23.02

abc: 4.846 3.299 5.948
angles: 75.56 90.00 90.00
Positions (direct):
Y1 0.500 0.250 0.250
Tc1 0.500 0.750 0.750
Tl1 0.000 0.898 0.980
Tl2 0.000 0.602 0.520

# 4
Computed, not measured: a relaxed structure of YTl2Tc at the PBE level of DFT.

Calculated values
- energy of formation from the pure elements (kJ/mol of formula units) = 176
- crystal system = cubic
- energy above the most stable polymorph in this dataset (meV per atom) = 294
- magnetization (μB per cell) = 1.4
- DOS(E_F) (states/eV/f.u.) = 3.728
- space-group type = F-43m, No. 216
- volume (Å³ per atom) = 23.37

abc: 5.094 5.094 5.094
angles: 60.00 60.00 60.00
Positions (direct):
Y1 0.750 0.750 0.750
Tc1 0.500 0.500 0.500
Tl1 0.250 0.250 0.250
Tl2 0.000 0.000 0.000